1.
Compound: Cs3PuMg2Br9
Source: Alexandria
Functional: PBE-GGA
Structure: optimized geometry

## Properties
Uncorrected formation energy = -1.586 eV/atom

a b c (Å): 7.9306 7.9306 9.7598
angles (deg): 90.00 90.00 120.00
Sites, in units of the cell vectors:
Cs 0.0000 0.0000 0.0000
Cs 0.3333 0.6667 0.6746
Cs 0.6667 0.3333 0.3254
Pu 0.0000 0.0000 0.5000
Mg 0.3333 0.6667 0.1559
Mg 0.6667 0.3333 0.8441
Br 0.0000 0.5000 0.0000
Br 0.1743 0.3486 0.3220
Br 0.1743 0.8257 0.3220
Br 0.3486 0.1743 0.6780
Br 0.5000 0.0000 0.0000
Br 0.5000 0.5000 0.0000
Br 0.6514 0.8257 0.3220
Br 0.8257 0.1743 0.6780
Br 0.8257 0.6514 0.6780

=====

2.
Compound: LaNiRh2
Source: Alexandria
Functional: PBE-GGA
Structure: optimized geometry

## Properties
Offset from the most stable computed form = 143 meV per atom

a b c (Å): 4.3759 4.3759 5.4013
angles (deg): 113.78 113.78 59.99
Sites, in units of the cell vectors:
La 0.0000 0.0000 0.0000
Ni 0.8077 0.8077 0.4234
Rh 0.1924 0.1924 0.5780
Rh 0.4975 0.4975 0.4931

=====

3.
Compound: RbHoPt4
Source: Alexandria
Functional: PBE-GGA
Structure: optimized geometry

## Properties
Final energy = -5.49 eV/atom

a b c (Å): 5.5167 5.5167 5.5167
angles (deg): 60.00 60.00 60.00
Sites, in units of the cell vectors:
Rb 0.0000 0.0000 0.0000
Ho 0.2500 0.2500 0.2500
Pt 0.1260 0.6247 0.6247
Pt 0.6247 0.1260 0.6247
Pt 0.6247 0.6247 0.1260
Pt 0.6247 0.6247 0.6247

=====

4.
Compound: ScCd2InHg5
Source: Alexandria
Functional: PBE-GGA
Structure: optimized geometry

## Properties
Final energy = -1.44 eV/atom

a b c (Å): 8.1592 8.1592 11.9477
angles (deg): 90.00 90.00 145.80
Sites, in units of the cell vectors:
Sc 0.0676 0.9324 0.5000
Sc 0.9324 0.0676 0.0000
Cd 0.3756 0.6244 0.8225
Cd 0.4236 0.5764 0.3776
Cd 0.5764 0.4236 0.8776
Cd 0.6244 0.3756 0.3225
In 0.3046 0.6954 0.0672
In 0.6954 0.3046 0.5672
Hg 0.0103 0.9897 0.2647
Hg 0.1249 0.8751 0.0374
Hg 0.1918 0.8082 0.7187
Hg 0.2361 0.7639 0.3725
Hg 0.4986 0.5014 0.6125
Hg 0.5014 0.4986 0.1125
Hg 0.7639 0.2361 0.8725
Hg 0.8082 0.1918 0.2187
Hg 0.8751 0.1249 0.5374
Hg 0.9897 0.0103 0.7647